[1]
Crystalline KPuC2O6 at its relaxed geometry, computed with PBE.

Cell lengths 6.5966, 6.5966, 7.1644 Å; angles 103.19, 103.19, 98.56 degrees
Closest atoms and distances in Å follow each position.
Sites, in units of the cell vectors:
Pu 0.4008 0.5992 0.7500  8 O 2.36-2.59
Pu 0.5992 0.4008 0.2500  8 O 2.36-2.59
C 0.1453 0.3916 0.2444  3 O 1.28-1.32
C 0.6084 0.8547 0.2556  3 O 1.28-1.32
C 0.8547 0.6084 0.7556  3 O 1.28-1.32
C 0.3916 0.1453 0.7444  3 O 1.28-1.32
O 0.7964 0.7497 0.8778  1 C 1.29
O 0.4071 0.9503 0.7226  1 C 1.28
O 0.5929 0.0497 0.2774  1 C 1.28
O 0.5278 0.2976 0.8914  1 C 1.32
O 0.2976 0.5278 0.3914  1 C 1.32
O 0.7024 0.4722 0.6086  1 C 1.32
O 0.0497 0.5929 0.7774  1 C 1.28
O 0.7497 0.7964 0.3778  1 C 1.29
O 0.2036 0.2503 0.1222  1 C 1.29
O 0.4722 0.7024 0.1086  1 C 1.32
O 0.9503 0.4071 0.2226  1 C 1.28
O 0.2503 0.2036 0.6222  1 C 1.29
K 0.1244 0.8756 0.2500  8 O 2.84-3.08
K 0.8756 0.1244 0.7500  8 O 2.84-3.08

formation energy (no corrections): -1.967 eV per atom
uncorrected energy: -0.3061 hartree per atom
calculated volume: 144.4 Å³/f.u.
M_tot: 5.000 μB/f.u.


[2]
Crystalline SiSb2SI at its relaxed geometry, computed with PBE.

Cell lengths 5.3179, 5.3179, 5.1869 Å; angles 90.00, 90.00, 90.00 degrees
Closest atoms and distances in Å follow each position.
Sites, in units of the cell vectors:
S 0.5000 0.5000 0.5000  8 Sb 3.71, 4 I 3.76
Sb 0.5000 0.0000 0.0000  2 Si 2.66
Sb 0.0000 0.5000 0.0000  2 Si 2.66
I 0.0000 0.0000 0.5000  2 Si 2.59
Si 0.0000 0.0000 0.0000  2 I 2.59, 4 Sb 2.66

formation energy (no corrections): 0.804 eV per atom
energy above the most stable polymorph in this dataset: 0.0 meV/atom
uncorrected energy: -0.1127 hartree per atom
calculated volume: 146.7 Å³/f.u.
M_tot: 0.000 μB/f.u.


[3]
Crystalline HfAlCd at its relaxed geometry, computed with PBE.

Cell lengths 3.1195, 3.1195, 12.0635 Å; angles 90.00, 90.00, 90.00 degrees
Closest atoms and distances in Å follow each position.
Sites, in units of the cell vectors:
Al 0.5000 0.0000 0.0696  4 Al 2.77, 4 Hf 2.89
Al 0.0000 0.5000 0.9304  4 Al 2.77, 4 Hf 2.89
Cd 0.5000 0.0000 0.4100  8 Cd 3.10-3.12, 4 Hf 3.15
Cd 0.0000 0.5000 0.5900  8 Cd 3.10-3.12, 4 Hf 3.15
Hf 0.5000 0.0000 0.7762  4 Al 2.89, 4 Hf 3.12, 4 Cd 3.15
Hf 0.0000 0.5000 0.2238  4 Al 2.89, 4 Hf 3.12, 4 Cd 3.15

energy above the most stable polymorph in this dataset: 0.0 meV/atom
uncorrected energy: -0.1848 hartree per atom
calculated volume: 58.7 Å³/f.u.
M_tot: 0.000 μB/f.u.
calculated formation energy: -0.16 eV per atom


[4]
Crystalline Ti3AuI at its relaxed geometry, computed with PBE.

Cell lengths 5.0386, 5.0386, 5.0386 Å; angles 90.00, 90.00, 90.00 degrees
Closest atoms and distances in Å follow each position.
Sites, in units of the cell vectors:
I 0.5000 0.5000 0.5000  12 Ti 3.56
Ti 0.5000 0.0000 0.0000  2 Au 2.52
Ti 0.0000 0.0000 0.5000  2 Au 2.52
Ti 0.0000 0.5000 0.0000  2 Au 2.52
Au 0.0000 0.0000 0.0000  6 Ti 2.52

formation energy (no corrections): 0.646 eV per atom
energy above the most stable polymorph in this dataset: 0.0 meV/atom
uncorrected energy: -0.1858 hartree per atom
calculated volume: 127.9 Å³/f.u.
M_tot: 3.988 μB/f.u.


[5]
Crystalline Ac2In3Pb3 at its relaxed geometry, computed with PBE.

Cell lengths 4.9479, 4.9500, 10.1405 Å; angles 90.00, 90.00, 90.00 degrees
Closest atoms and distances in Å follow each position.
Sites, in units of the cell vectors:
Ac 0.0000 0.0000 0.7518  6 Pb 3.50-3.53, 6 In 3.53-3.56
Ac 0.0000 0.0000 0.2482  6 Pb 3.50-3.53, 6 In 3.53-3.56
Pb 0.5000 0.5000 0.2528  4 Ac 3.50, 6 In 3.52-3.56, 2 Pb 3.56
Pb 0.5000 0.0000 0.0000  4 In 3.50, 4 Ac 3.53, 4 Pb 3.56
Pb 0.5000 0.5000 0.7472  4 Ac 3.50, 6 In 3.52-3.56, 2 Pb 3.56
In 0.0000 0.5000 0.5000  4 In 3.50, 4 Pb 3.52, 4 Ac 3.56
In 0.5000 0.0000 0.5000  4 In 3.50, 4 Pb 3.52, 4 Ac 3.56
In 0.0000 0.5000 0.0000  8 Pb 3.50-3.56, 4 Ac 3.53

energy above the most stable polymorph in this dataset: 0.0 meV/atom
uncorrected energy: -0.1414 hartree per atom
calculated volume: 248.4 Å³/f.u.
M_tot: 0.000 μB/f.u.
calculated formation energy: -0.40 eV per atom


[6]
Crystalline Ca2TlAg at its relaxed geometry, computed with PBE.

Cell lengths 4.1161, 4.1161, 6.9141 Å; angles 90.00, 90.00, 90.00 degrees
Closest atoms and distances in Å follow each position.
Sites, in units of the cell vectors:
Ca 0.0000 0.0000 0.9433  1 Tl 3.11, 4 Ag 3.15
Ca 0.5000 0.5000 0.2927  4 Tl 3.23, 2 Ag 3.30-3.61
Ag 0.5000 0.5000 0.7704  5 Ca 3.15-3.30, 4 Tl 3.48
Tl 0.0000 0.0000 0.4937  5 Ca 3.11-3.23

uncorrected energy: -0.0923 hartree per atom
calculated volume: 117.1 Å³/f.u.
M_tot: 0.000 μB/f.u.
calculated formation energy: -0.21 eV per atom


Which of these has the highest M_tot? KPuC2O6